Record 1
# AgPPbO

AgPPbO after structural relaxation (PBE, the Open Quantum Materials Database).

Properties
The excess energy over the best structure of this formula in the dataset comes out at 534 meV/atom. Its space-group type is No. 129.

a = 4.589 Å, b = 4.589 Å, c = 8.206 Å
α = 90.00°, β = 90.00°, γ = 90.00°
Sites, in units of the cell vectors:
Ag 0.250 0.250 0.006
Ag 0.750 0.750 0.994
P 0.250 0.250 0.695
P 0.750 0.750 0.305
Pb 0.250 0.750 0.500
Pb 0.750 0.250 0.500
O 0.250 0.750 0.000
O 0.750 0.250 0.000

***

Record 2
# Ag2P2PbO7

Ag2P2PbO7 after structural relaxation (PBE, the Open Quantum Materials Database).

Properties
Its final energy is -73.69 eV/f.u. Its space-group type is No. 2.

a = 5.403 Å, b = 6.962 Å, c = 9.963 Å
α = 106.54°, β = 93.62°, γ = 110.86°
Sites, in units of the cell vectors:
Ag 0.084 0.263 0.025
Ag 0.341 0.601 0.804
Ag 0.659 0.399 0.196
Ag 0.916 0.737 0.975
P 0.264 0.655 0.370
P 0.492 0.870 0.166
P 0.508 0.130 0.834
P 0.736 0.345 0.630
Pb 0.137 0.136 0.376
Pb 0.863 0.864 0.624
O 0.018 0.710 0.343
O 0.211 0.034 0.848
O 0.218 0.421 0.277
O 0.320 0.657 0.047
O 0.363 0.039 0.187
O 0.369 0.701 0.525
O 0.490 0.184 0.685
O 0.510 0.816 0.315
O 0.631 0.299 0.475
O 0.637 0.961 0.813
O 0.680 0.343 0.953
O 0.782 0.579 0.723
O 0.789 0.966 0.152
O 0.982 0.290 0.657

***

Record 3
# PmAgPO

PmAgPO after structural relaxation (PBE, the Open Quantum Materials Database).

Properties
The calculation puts the total moment at 0.01 μB/cell. The excess energy over the best structure of this formula in the dataset comes out at 337 meV/atom. Its space-group type is No. 26.

a = 4.400 Å, b = 6.412 Å, c = 5.139 Å
α = 90.00°, β = 90.00°, γ = 90.00°
Sites, in units of the cell vectors:
Pm 0.000 0.246 0.000
Pm 0.000 0.754 0.500
Ag 0.500 0.144 0.493
Ag 0.500 0.856 0.993
P 0.500 0.490 0.746
P 0.500 0.510 0.246
O 0.000 0.097 0.409
O 0.000 0.903 0.909

***

Record 4
# PmAgPO

PmAgPO after structural relaxation (PBE, the Open Quantum Materials Database).

Properties
The calculation puts the total moment at 0.01 μB/cell. The excess energy over the best structure of this formula in the dataset comes out at 355 meV/atom. Its space-group type is No. 26.

a = 3.832 Å, b = 7.666 Å, c = 5.917 Å
α = 90.00°, β = 90.00°, γ = 90.00°
Sites, in units of the cell vectors:
Pm 0.000 0.219 0.000
Pm 0.000 0.781 0.500
Ag 0.500 0.351 0.506
Ag 0.500 0.649 0.006
P 0.000 0.156 0.500
P 0.000 0.844 0.000
O 0.500 0.356 0.997
O 0.500 0.644 0.497

***

Record 5
# PmAgPO

PmAgPO after structural relaxation (PBE, the Open Quantum Materials Database).

Properties
The calculation puts the total moment at 0.03 μB/cell. The excess energy over the best structure of this formula in the dataset comes out at 0 meV/atom. Its space-group type is No. 129.

a = 4.051 Å, b = 4.051 Å, c = 8.730 Å
α = 90.00°, β = 90.00°, γ = 90.00°
Sites, in units of the cell vectors:
Pm 0.250 0.250 0.132
Pm 0.750 0.750 0.868
Ag 0.250 0.750 0.500
Ag 0.750 0.250 0.500
P 0.250 0.250 0.683
P 0.750 0.750 0.317
O 0.250 0.750 0.000
O 0.750 0.250 0.000

***

Record 6
# PrAgPO

PrAgPO after structural relaxation (PBE, the Open Quantum Materials Database).

Properties
The calculation puts the total moment at 0.02 μB/cell. The excess energy over the best structure of this formula in the dataset comes out at 0 meV/atom. Its space-group type is No. 129.

a = 4.111 Å, b = 4.111 Å, c = 8.727 Å
α = 90.00°, β = 90.00°, γ = 90.00°
Sites, in units of the cell vectors:
Pr 0.250 0.250 0.135
Pr 0.750 0.750 0.865
Ag 0.250 0.750 0.500
Ag 0.750 0.250 0.500
P 0.250 0.250 0.678
P 0.750 0.750 0.322
O 0.250 0.750 0.000
O 0.750 0.250 0.000

***

Record 7
# PrAgPO

PrAgPO after structural relaxation (PBE, the Open Quantum Materials Database).

Properties
The calculation puts the total moment at 0.00 μB/cell. The excess energy over the best structure of this formula in the dataset comes out at 365 meV/atom. Its space-group type is No. 26.

a = 3.890 Å, b = 7.702 Å, c = 5.973 Å
α = 90.00°, β = 90.00°, γ = 90.00°
Sites, in units of the cell vectors:
Pr 0.000 0.224 0.000
Pr 0.000 0.776 0.500
Ag 0.500 0.345 0.505
Ag 0.500 0.655 0.005
P 0.000 0.155 0.500
P 0.000 0.845 0.000
O 0.500 0.364 0.000
O 0.500 0.636 0.500

***

Record 8
# PrAgPO

PrAgPO after structural relaxation (PBE, the Open Quantum Materials Database).

Properties
The calculation puts the total moment at 0.00 μB/cell. The excess energy over the best structure of this formula in the dataset comes out at 281 meV/atom. Its space-group type is No. 26.

a = 4.721 Å, b = 6.495 Å, c = 4.756 Å
α = 90.00°, β = 90.00°, γ = 90.00°
Sites, in units of the cell vectors:
Pr 0.000 0.233 0.000
Pr 0.000 0.767 0.500
Ag 0.500 0.137 0.500
Ag 0.500 0.863 0.000
P 0.500 0.499 0.753
P 0.500 0.501 0.253
O 0.000 0.124 0.499
O 0.000 0.876 0.999